1.
# KTl2SnCl6 GGA-PBE relaxed
# VASP energy ... -32.55 eV/f.u.
# Formation energy from raw total energies ... -1.1641 eV per atom
data_KTl2SnCl6
_cell_length_a 7.9344
_cell_length_b 7.9344
_cell_length_c 40.0791
_cell_angle_alpha 90.00
_cell_angle_beta 90.00
_cell_angle_gamma 120.00
_space_group_name_H-M_alt 'R -3 m'
_space_group_IT_number 166
_space_group_name_Hall '-R 3 2"'
loop_
_atom_site_label
_atom_site_type_symbol
_atom_site_fract_x
_atom_site_fract_y
_atom_site_fract_z
K1 K 0.0000 0.0000 0.0936
Tl1 Tl 0.0000 0.0000 0.2389
Tl2 Tl 0.0000 0.0000 0.3477
Sn1 Sn 0.0000 0.0000 0.0000
Sn2 Sn 0.0000 0.0000 0.5000
Cl1 Cl 0.0092 0.5046 0.3735
Cl2 Cl 0.0429 0.5215 0.2027

***

2.
# InHgF GGA-PBE relaxed
# VASP energy ... -8.03 eV/f.u.
# Formation energy from raw total energies ... -1.0396 eV per atom
data_InHgF
_cell_length_a 3.7593
_cell_length_b 3.7593
_cell_length_c 6.8396
_cell_angle_alpha 90.00
_cell_angle_beta 90.00
_cell_angle_gamma 120.00
_space_group_name_H-M_alt 'P 3 m 1'
_space_group_IT_number 156
loop_
_space_group_symop_operation_xyz
'x,y,z'
'-y,x-y,z'
'-x+y,-x,z'
'-y,-x,z'
'-x+y,y,z'
'x,x-y,z'
loop_
_atom_site_label
_atom_site_type_symbol
_atom_site_fract_x
_atom_site_fract_y
_atom_site_fract_z
In1 In 0.0000 0.0000 0.0000
Hg1 Hg 0.3333 0.6667 0.5990
F1 F 0.6667 0.3333 0.1607

***

3.
# Ce5Ir2Au2 GGA-PBE relaxed
# E_form ... -528 meV per atom
# VASP energy ... -58.70 eV/f.u.
data_Ce5Ir2Au2
_cell_length_a 18.438
_cell_length_b 6.523
_cell_length_c 7.465
_cell_angle_alpha 90.00
_cell_angle_beta 90.00
_cell_angle_gamma 90.00
_space_group_name_H-M_alt 'I m a 2'
_space_group_IT_number 46
loop_
_space_group_symop_operation_xyz
'x,y,z'
'-x,-y,z'
'-x+1/2,y,z'
'x+1/2,-y,z'
'x+1/2,y+1/2,z+1/2'
'-x+1/2,-y+1/2,z+1/2'
'-x,y+1/2,z+1/2'
'x,-y+1/2,z+1/2'
loop_
_atom_site_label
_atom_site_type_symbol
_atom_site_fract_x
_atom_site_fract_y
_atom_site_fract_z
Ce1 Ce 0.075 0.168 0.000
Ce2 Ce 0.164 0.638 0.142
Ce3 Ce 0.250 0.140 0.284
Ir1 Ir 0.000 0.000 0.706
Ir2 Ir 0.250 0.530 0.453
Au1 Au 0.065 0.609 0.835

***

4.
# Ba2SiIrW GGA-PBE relaxed
# VASP energy ... -26.84 eV/f.u.
# Formation energy from raw total energies ... 0.8494 eV per atom
data_Ba2SiIrW
_cell_length_a 6.132
_cell_length_b 6.132
_cell_length_c 4.588
_cell_angle_alpha 90.00
_cell_angle_beta 90.00
_cell_angle_gamma 90.00
_space_group_name_H-M_alt 'P 4/m m m'
_space_group_IT_number 123
_space_group_name_Hall '-P 4 2'
loop_
_atom_site_label
_atom_site_type_symbol
_atom_site_fract_x
_atom_site_fract_y
_atom_site_fract_z
Ba1 Ba 0.000 0.500 0.000
Si1 Si 0.000 0.000 0.500
Ir1 Ir 0.000 0.000 0.000
W1 W 0.500 0.500 0.500

***

5.
# Cr2HgOs GGA-PBE relaxed
# E_form ... 666 meV per atom
# VASP energy ... -28.11 eV/f.u.
data_Cr2HgOs
_cell_length_a 6.280
_cell_length_b 6.280
_cell_length_c 6.280
_cell_angle_alpha 90.00
_cell_angle_beta 90.00
_cell_angle_gamma 90.00
_space_group_name_H-M_alt 'F -4 3 m'
_space_group_IT_number 216
_space_group_name_Hall 'F -4 2 3'
loop_
_atom_site_label
_atom_site_type_symbol
_atom_site_fract_x
_atom_site_fract_y
_atom_site_fract_z
Cr1 Cr 0.000 0.000 0.000
Cr2 Cr 0.250 0.250 0.250
Hg1 Hg 0.250 0.250 0.750
Os1 Os 0.000 0.000 0.500